Record 1
{"formula": "CeSm2Zr", "functional": "PBE-GGA", "state": "relaxed", "spacegroup": "R-3m", "formation_energy_ev_per_atom": 0.33, "de_polymorph_ev_per_atom": 0.178, "crystal_system": "trigonal", "dos_ef_per_ev_atom": 1.591, "lattice_angstrom": [[1.681, 0.970, 11.979], [-1.681, 0.970, 11.979], [0.000, -1.941, 11.979]], "species": ["Ce", "Sm", "Sm", "Zr"], "fractional_positions": [[0.000, 0.000, 0.000], [0.413, 0.413, 0.413], [0.587, 0.587, 0.587], [0.500, 0.500, 0.500]]}

=====

Record 2
{"formula": "Ce2SmZr", "functional": "PBE-GGA", "state": "relaxed", "spacegroup": "P4/mmm", "formation_energy_ev_per_atom": 0.12, "de_polymorph_ev_per_atom": 0.000, "crystal_system": "tetragonal", "dos_ef_per_ev_atom": 2.564, "lattice_angstrom": [[3.301, 0.000, 0.000], [0.000, 3.301, 0.000], [0.000, 0.000, 10.241]], "species": ["Ce", "Ce", "Sm", "Zr"], "fractional_positions": [[0.000, 0.000, 0.235], [0.000, 0.000, 0.765], [0.500, 0.500, 0.500], [0.500, 0.500, 0.000]]}

=====

Record 3
{"formula": "Ce2SmZr", "functional": "PBE-GGA", "state": "relaxed", "spacegroup": "P4/mmm", "formation_energy_ev_per_atom": 0.16, "de_polymorph_ev_per_atom": 0.031, "crystal_system": "tetragonal", "dos_ef_per_ev_atom": 2.471, "lattice_angstrom": [[4.704, 0.000, 0.000], [0.000, 4.704, 0.000], [0.000, 0.000, 5.037]], "species": ["Ce", "Ce", "Sm", "Zr"], "fractional_positions": [[0.000, 0.500, 0.000], [0.500, 0.000, 0.000], [0.000, 0.000, 0.500], [0.500, 0.500, 0.500]]}

=====

Record 4
{"formula": "Ce2SmZr", "functional": "PBE-GGA", "state": "relaxed", "spacegroup": "R-3m", "formation_energy_ev_per_atom": 0.29, "de_polymorph_ev_per_atom": 0.169, "crystal_system": "trigonal", "dos_ef_per_ev_atom": 2.648, "lattice_angstrom": [[1.621, 0.936, 12.063], [-1.621, 0.936, 12.063], [0.000, -1.872, 12.063]], "species": ["Ce", "Ce", "Sm", "Zr"], "fractional_positions": [[0.081, 0.081, 0.081], [0.919, 0.919, 0.919], [0.500, 0.500, 0.500], [0.000, 0.000, 0.000]]}

=====

Record 5
{"formula": "CeSm2Zr", "functional": "PBE-GGA", "state": "relaxed", "spacegroup": "P4/mmm", "formation_energy_ev_per_atom": 0.25, "de_polymorph_ev_per_atom": 0.099, "crystal_system": "tetragonal", "dos_ef_per_ev_atom": 2.657, "lattice_angstrom": [[4.061, 0.000, 0.000], [0.000, 4.061, 0.000], [0.000, 0.000, 7.198]], "species": ["Ce", "Sm", "Sm", "Zr"], "fractional_positions": [[0.000, 0.000, 0.000], [0.500, 0.500, 0.274], [0.500, 0.500, 0.726], [0.000, 0.000, 0.500]]}

=====

Record 6
{"formula": "CeSm2Zr", "functional": "PBE-GGA", "state": "relaxed", "spacegroup": "P4/mmm", "formation_energy_ev_per_atom": 0.15, "de_polymorph_ev_per_atom": 0.007, "crystal_system": "tetragonal", "dos_ef_per_ev_atom": 1.605, "lattice_angstrom": [[4.894, 0.000, 0.000], [0.000, 4.894, 0.000], [0.000, 0.000, 4.924]], "species": ["Ce", "Sm", "Sm", "Zr"], "fractional_positions": [[0.000, 0.000, 0.000], [0.000, 0.500, 0.500], [0.500, 0.000, 0.500], [0.500, 0.500, 0.000]]}

=====

Record 7
{"formula": "CeSmZr2", "functional": "PBE-GGA", "state": "relaxed", "spacegroup": "P4/mmm", "formation_energy_ev_per_atom": 0.17, "de_polymorph_ev_per_atom": 0.005, "crystal_system": "tetragonal", "dos_ef_per_ev_atom": 1.528, "lattice_angstrom": [[3.916, 0.000, 0.000], [0.000, 3.916, 0.000], [0.000, 0.000, 7.007]], "species": ["Ce", "Sm", "Zr", "Zr"], "fractional_positions": [[0.000, 0.000, 0.000], [0.000, 0.000, 0.500], [0.500, 0.500, 0.212], [0.500, 0.500, 0.788]]}

=====

Record 8
{"formula": "Ce2SmZr", "functional": "PBE-GGA", "state": "relaxed", "spacegroup": "Fm-3m", "formation_energy_ev_per_atom": 0.28, "de_polymorph_ev_per_atom": 0.159, "crystal_system": "cubic", "dos_ef_per_ev_atom": 3.383, "lattice_angstrom": [[0.000, 3.848, 3.848], [3.848, 0.000, 3.848], [3.848, 3.848, 0.000]], "species": ["Ce", "Ce", "Sm", "Zr"], "fractional_positions": [[0.250, 0.250, 0.250], [0.750, 0.750, 0.750], [0.000, 0.000, 0.000], [0.500, 0.500, 0.500]]}

=====

Record 9
{"formula": "Ce4Sn", "functional": "PBE-GGA", "state": "relaxed", "spacegroup": "Pm-3m", "formation_energy_ev_per_atom": 0.49, "de_polymorph_ev_per_atom": 0.761, "crystal_system": "cubic", "dos_ef_per_ev_atom": 5.248, "lattice_angstrom": [[5.926, 0.000, 0.000], [0.000, 5.926, 0.000], [0.000, 0.000, 5.926]], "species": ["Ce", "Ce", "Ce", "Ce", "Sn"], "fractional_positions": [[0.000, 0.000, 0.000], [0.000, 0.500, 0.500], [0.500, 0.000, 0.500], [0.500, 0.500, 0.000], [0.500, 0.500, 0.500]]}

=====

Record 10
{"formula": "CeSn6", "functional": "PBE-GGA", "state": "relaxed", "spacegroup": "Im-3m", "formation_energy_ev_per_atom": 0.34, "crystal_system": "cubic", "dos_ef_per_ev_atom": 2.010, "lattice_angstrom": [[-4.048, 4.048, 4.048], [4.048, -4.048, 4.048], [4.048, 4.048, -4.048]], "species": ["Ce", "Sn", "Sn", "Sn", "Sn", "Sn", "Sn"], "fractional_positions": [[0.000, 0.000, 0.000], [0.250, 0.500, 0.750], [0.250, 0.750, 0.500], [0.500, 0.250, 0.750], [0.500, 0.750, 0.250], [0.750, 0.250, 0.500], [0.750, 0.500, 0.250]]}

=====

Record 11
{"formula": "Ce2Sn3", "functional": "PBE-GGA", "state": "relaxed", "spacegroup": "P4/m", "formation_energy_ev_per_atom": -0.59, "de_polymorph_ev_per_atom": 0.012, "crystal_system": "tetragonal", "dos_ef_per_ev_atom": 2.077, "lattice_angstrom": [[7.654, 0.000, 0.000], [0.000, 7.654, 0.000], [0.000, 0.000, 4.657]], "species": ["Ce", "Ce", "Ce", "Ce", "Sn", "Sn", "Sn", "Sn", "Sn", "Sn"], "fractional_positions": [[0.138, 0.696, 0.000], [0.304, 0.138, 0.000], [0.696, 0.862, 0.000], [0.862, 0.304, 0.000], [0.000, 0.000, 0.500], [0.185, 0.402, 0.500], [0.402, 0.815, 0.500], [0.500, 0.500, 0.000], [0.598, 0.185, 0.500], [0.815, 0.598, 0.500]]}

=====

Record 12
{"formula": "CeSn2", "functional": "PBE-GGA", "state": "relaxed", "spacegroup": "C2/m", "formation_energy_ev_per_atom": -0.34, "crystal_system": "monoclinic", "dos_ef_per_ev_atom": 2.330, "lattice_angstrom": [[3.087, -3.158, 0.000], [3.087, 3.158, 0.000], [-2.095, 0.000, 4.546]], "species": ["Ce", "Sn", "Sn"], "fractional_positions": [[0.000, 0.000, 0.000], [0.367, 0.367, 0.688], [0.633, 0.633, 0.312]]}

=====

Record 13
{"formula": "Ce3Sn7", "functional": "PBE-GGA", "state": "relaxed", "spacegroup": "Cmmm", "formation_energy_ev_per_atom": -0.58, "crystal_system": "orthorhombic", "dos_ef_per_ev_atom": 1.381, "lattice_angstrom": [[2.288, -12.607, 0.000], [2.288, 12.607, 0.000], [0.000, 0.000, 4.650]], "species": ["Ce", "Ce", "Ce", "Sn", "Sn", "Sn", "Sn", "Sn", "Sn", "Sn"], "fractional_positions": [[0.000, 0.000, 0.000], [0.185, 0.815, 0.000], [0.815, 0.185, 0.000], [0.096, 0.904, 0.500], [0.292, 0.708, 0.500], [0.405, 0.595, 0.000], [0.500, 0.500, 0.500], [0.595, 0.405, 0.000], [0.708, 0.292, 0.500], [0.904, 0.096, 0.500]]}

=====

Record 14
{"formula": "Ce2Sn3", "functional": "PBE-GGA", "state": "relaxed", "spacegroup": "P-1", "formation_energy_ev_per_atom": -0.60, "de_polymorph_ev_per_atom": 0.000, "crystal_system": "triclinic", "dos_ef_per_ev_atom": 2.498, "lattice_angstrom": [[6.437, 0.000, 0.000], [-1.486, 8.277, 0.000], [-1.286, -3.502, 10.520]], "species": ["Ce", "Ce", "Ce", "Ce", "Ce", "Ce", "Ce", "Ce", "Sn", "Sn", "Sn", "Sn", "Sn", "Sn", "Sn", "Sn", "Sn", "Sn", "Sn", "Sn"], "fractional_positions": [[0.045, 0.248, 0.444], [0.125, 0.259, 0.887], [0.336, 0.531, 0.244], [0.440, 0.069, 0.163], [0.560, 0.931, 0.837], [0.664, 0.469, 0.756], [0.875, 0.741, 0.113], [0.955, 0.752, 0.556], [0.048, 0.857, 0.877], [0.171, 0.534, 0.722], [0.218, 0.903, 0.362], [0.321, 0.102, 0.642], [0.361, 0.668, 0.000], [0.436, 0.674, 0.550], [0.564, 0.326, 0.450], [0.639, 0.332, 0.000], [0.679, 0.898, 0.358], [0.782, 0.097, 0.638], [0.829, 0.466, 0.278], [0.952, 0.143, 0.123]]}

=====

Record 15
{"formula": "Ce4Sn5", "functional": "PBE-GGA", "state": "relaxed", "spacegroup": "P6_3/mcm", "formation_energy_ev_per_atom": -0.58, "crystal_system": "hexagonal", "dos_ef_per_ev_atom": 1.936, "lattice_angstrom": [[9.524, 0.000, 0.000], [-4.762, 8.248, 0.000], [0.000, 0.000, 6.379]], "species": ["Ce", "Ce", "Ce", "Ce", "Ce", "Ce", "Ce", "Ce", "Sn", "Sn", "Sn", "Sn", "Sn", "Sn", "Sn", "Sn", "Sn", "Sn"], "fractional_positions": [[0.000, 0.000, 0.000], [0.000, 0.000, 0.500], [0.000, 0.380, 0.250], [0.000, 0.620, 0.750], [0.380, 0.000, 0.250], [0.380, 0.380, 0.750], [0.620, 0.000, 0.750], [0.620, 0.620, 0.250], [0.000, 0.289, 0.750], [0.000, 0.711, 0.250], [0.289, 0.000, 0.750], [0.289, 0.289, 0.250], [0.333, 0.667, 0.000], [0.333, 0.667, 0.500], [0.667, 0.333, 0.000], [0.667, 0.333, 0.500], [0.711, 0.000, 0.250], [0.711, 0.711, 0.750]]}

=====

Record 16
{"formula": "Ce2Sn", "functional": "PBE-GGA", "state": "relaxed", "spacegroup": "Cmmm", "formation_energy_ev_per_atom": -0.48, "crystal_system": "orthorhombic", "dos_ef_per_ev_atom": 2.864, "lattice_angstrom": [[2.327, -8.074, 0.000], [2.327, 8.074, 0.000], [0.000, 0.000, 4.428]], "species": ["Ce", "Ce", "Ce", "Ce", "Sn", "Sn"], "fractional_positions": [[0.000, 0.000, 0.000], [0.188, 0.812, 0.500], [0.500, 0.500, 0.500], [0.812, 0.188, 0.500], [0.351, 0.649, 0.000], [0.649, 0.351, 0.000]]}

=====

Record 17
{"formula": "Ce3Sn5", "functional": "PBE-GGA", "state": "relaxed", "spacegroup": "Cmmm", "formation_energy_ev_per_atom": -0.56, "de_polymorph_ev_per_atom": 0.034, "crystal_system": "orthorhombic", "dos_ef_per_ev_atom": 2.070, "lattice_angstrom": [[4.665, -4.940, 0.000], [4.665, 4.940, 0.000], [0.000, 0.000, 4.711]], "species": ["Ce", "Ce", "Ce", "Sn", "Sn", "Sn", "Sn", "Sn"], "fractional_positions": [[0.000, 0.000, 0.000], [0.278, 0.722, 0.500], [0.722, 0.278, 0.500], [0.000, 0.500, 0.000], [0.235, 0.235, 0.500], [0.500, 0.000, 0.000], [0.500, 0.500, 0.000], [0.765, 0.765, 0.500]]}

=====

Record 18
{"formula": "Ce3Sn5", "functional": "PBE-GGA", "state": "relaxed", "spacegroup": "Cmcm", "formation_energy_ev_per_atom": -0.59, "de_polymorph_ev_per_atom": 0.000, "crystal_system": "orthorhombic", "dos_ef_per_ev_atom": 2.290, "lattice_angstrom": [[5.140, -4.129, 0.000], [5.140, 4.129, 0.000], [0.000, 0.000, 10.365]], "species": ["Ce", "Ce", "Ce", "Ce", "Ce", "Ce", "Sn", "Sn", "Sn", "Sn", "Sn", "Sn", "Sn", "Sn", "Sn", "Sn"], "fractional_positions": [[0.120, 0.880, 0.750], [0.294, 0.294, 0.000], [0.294, 0.294, 0.500], [0.706, 0.706, 0.000], [0.706, 0.706, 0.500], [0.880, 0.120, 0.250], [0.005, 0.563, 0.250], [0.193, 0.807, 0.045], [0.193, 0.807, 0.455], [0.437, 0.995, 0.250], [0.490, 0.510, 0.250], [0.510, 0.490, 0.750], [0.563, 0.005, 0.750], [0.807, 0.193, 0.545], [0.807, 0.193, 0.955], [0.995, 0.437, 0.750]]}

=====

Record 19
{"formula": "Ce2Sn", "functional": "PBE-GGA", "state": "relaxed", "spacegroup": "Cmcm", "formation_energy_ev_per_atom": -0.46, "crystal_system": "orthorhombic", "dos_ef_per_ev_atom": 2.950, "lattice_angstrom": [[2.206, -8.198, 0.000], [2.206, 8.198, 0.000], [0.000, 0.000, 4.623]], "species": ["Ce", "Ce", "Ce", "Ce", "Sn", "Sn"], "fractional_positions": [[0.058, 0.942, 0.750], [0.252, 0.748, 0.250], [0.748, 0.252, 0.750], [0.942, 0.058, 0.250], [0.397, 0.603, 0.750], [0.603, 0.397, 0.250]]}

=====

Record 20
{"formula": "Ce3Sn5", "functional": "PBE-GGA", "state": "relaxed", "spacegroup": "Pmmm", "formation_energy_ev_per_atom": -0.58, "de_polymorph_ev_per_atom": 0.017, "crystal_system": "orthorhombic", "dos_ef_per_ev_atom": 2.163, "lattice_angstrom": [[4.589, 0.000, 0.000], [0.000, 4.705, 0.000], [0.000, 0.000, 10.066]], "species": ["Ce", "Ce", "Ce", "Sn", "Sn", "Sn", "Sn", "Sn"], "fractional_positions": [[0.000, 0.000, 0.000], [0.500, 0.000, 0.279], [0.500, 0.000, 0.721], [0.000, 0.000, 0.500], [0.000, 0.500, 0.240], [0.000, 0.500, 0.760], [0.500, 0.500, 0.000], [0.500, 0.500, 0.500]]}